DFT (PBE-GGA) results for a geometry-optimized Sm2CoSi3 structure.

abc: 8.104 8.046 5.786
angles: 69.54 68.47 41.98
Fractional positions:
Sm 0.250 0.250 0.250
Sm 0.250 0.750 0.250
Sm 0.750 0.250 0.750
Sm 0.750 0.750 0.750
Co 0.166 0.166 0.834
Co 0.834 0.834 0.166
Si 0.156 0.672 0.844
Si 0.328 0.328 0.672
Si 0.328 0.844 0.672
Si 0.672 0.156 0.328
Si 0.672 0.672 0.328
Si 0.844 0.328 0.156

Properties
For the total energy, the calculation gives -6.2222 eV per atom. The formation energy (no corrections) is -753 meV/atom. The space-group type is Fmmm. For the density of states at the Fermi level, the calculation gives 0.504 states/eV/atom.

=====

DFT (PBE-GGA) results for a geometry-optimized SmCo4Si12 structure.

abc: 6.964 6.964 6.964
angles: 109.47 109.47 109.47
Fractional positions:
Sm 0.000 0.000 0.000
Co 0.000 0.000 0.500
Co 0.000 0.500 0.000
Co 0.500 0.000 0.000
Co 0.500 0.500 0.500
Si 0.170 0.349 0.519
Si 0.170 0.651 0.821
Si 0.179 0.830 0.349
Si 0.349 0.179 0.830
Si 0.349 0.519 0.170
Si 0.481 0.830 0.651
Si 0.519 0.170 0.349
Si 0.651 0.481 0.830
Si 0.651 0.821 0.170
Si 0.821 0.170 0.651
Si 0.830 0.349 0.179
Si 0.830 0.651 0.481

Properties
For the total energy, the calculation gives -5.9490 eV per atom. The formation energy (no corrections) is -171 meV/atom. The space-group type is Im-3. For the density of states at the Fermi level, the calculation gives 0.677 states/eV/atom.

=====

DFT (PBE-GGA) results for a geometry-optimized SmCoSi structure.

abc: 6.418 6.418 6.039
angles: 90.00 90.00 90.00
Fractional positions:
Sm 0.219 0.219 0.000
Sm 0.281 0.719 0.250
Sm 0.719 0.281 0.750
Sm 0.781 0.781 0.500
Co 0.138 0.862 0.750
Co 0.362 0.362 0.500
Co 0.638 0.638 0.000
Co 0.862 0.138 0.250
Si 0.118 0.118 0.500
Si 0.382 0.618 0.750
Si 0.618 0.382 0.250
Si 0.882 0.882 0.000

Properties
For the total energy, the calculation gives -6.0846 eV per atom. The formation energy (no corrections) is -335 meV/atom. The space-group type is P4_12_12. For the density of states at the Fermi level, the calculation gives 0.524 states/eV/atom.

=====

DFT (PBE-GGA) results for a geometry-optimized SmCoSi structure.

abc: 4.003 4.003 6.916
angles: 90.00 90.00 90.00
Fractional positions:
Sm 0.250 0.250 0.185
Sm 0.750 0.750 0.815
Co 0.250 0.750 0.500
Co 0.750 0.250 0.500
Si 0.250 0.250 0.674
Si 0.750 0.750 0.326

Properties
For the total energy, the calculation gives -6.4556 eV per atom. The formation energy (no corrections) is -706 meV/atom. The space-group type is P4/nmm. For the density of states at the Fermi level, the calculation gives 0.606 states/eV/atom.

=====

DFT (PBE-GGA) results for a geometry-optimized Sm3Co3Si8 structure.

abc: 7.784 7.784 7.784
angles: 149.96 103.08 84.72
Fractional positions:
Sm 0.000 0.000 0.000
Sm 0.313 0.313 0.000
Sm 0.687 0.687 0.000
Co 0.278 0.500 0.778
Co 0.500 0.000 0.500
Co 0.722 0.500 0.222
Si 0.021 0.662 0.359
Si 0.179 0.886 0.293
Si 0.303 0.662 0.641
Si 0.407 0.114 0.293
Si 0.593 0.886 0.707
Si 0.697 0.338 0.359
Si 0.821 0.114 0.707
Si 0.979 0.338 0.641

Properties
For the total energy, the calculation gives -6.1250 eV per atom. The formation energy (no corrections) is -492 meV/atom. The space-group type is Immm. For the density of states at the Fermi level, the calculation gives 0.512 states/eV/atom.

=====

DFT (PBE-GGA) results for a geometry-optimized Sm3Co2Si4 structure.

abc: 5.839 5.839 7.971
angles: 106.65 106.65 40.48
Fractional positions:
Sm 0.000 0.000 0.000
Sm 0.389 0.389 0.311
Sm 0.611 0.611 0.689
Co 0.303 0.303 0.634
Co 0.697 0.697 0.366
Si 0.115 0.115 0.400
Si 0.280 0.280 0.920
Si 0.720 0.720 0.080
Si 0.885 0.885 0.600

Properties
For the total energy, the calculation gives -6.2862 eV per atom. Its energy above the most stable polymorph in this dataset is 0.00 eV/f.u. The formation energy (no corrections) is -724 meV/atom. The space-group type is C2/m. For the density of states at the Fermi level, the calculation gives 0.568 states/eV/atom.

=====

DFT (PBE-GGA) results for a geometry-optimized Sm4CoSi3 structure.

abc: 3.924 4.300 10.807
angles: 90.00 90.00 90.00
Fractional positions:
Sm 0.000 0.000 0.000
Sm 0.000 0.500 0.490
Sm 0.500 0.000 0.708
Sm 0.500 0.500 0.217
Co 0.000 0.000 0.289
Si 0.000 0.500 0.781
Si 0.500 0.000 0.416
Si 0.500 0.500 0.921

Properties
For the total energy, the calculation gives -5.8904 eV per atom. The formation energy (no corrections) is -609 meV/atom. The space-group type is Pmm2. For the density of states at the Fermi level, the calculation gives 1.079 states/eV/atom.

=====

DFT (PBE-GGA) results for a geometry-optimized SmCo2Si structure.

abc: 3.974 3.974 14.566
angles: 90.00 90.00 120.00
Fractional positions:
Sm 0.000 0.000 0.000
Sm 0.333 0.667 0.667
Sm 0.667 0.333 0.333
Co 0.000 0.000 0.195
Co 0.000 0.000 0.805
Co 0.333 0.667 0.472
Co 0.333 0.667 0.861
Co 0.667 0.333 0.139
Co 0.667 0.333 0.528
Si 0.000 0.000 0.500
Si 0.333 0.667 0.167
Si 0.667 0.333 0.833

Properties
For the total energy, the calculation gives -6.5634 eV per atom. The formation energy (no corrections) is -475 meV/atom. The space-group type is R-3m. For the density of states at the Fermi level, the calculation gives 1.243 states/eV/atom.

=====

DFT (PBE-GGA) results for a geometry-optimized SmCo2Si3 structure.

abc: 6.015 6.015 5.021
angles: 90.00 90.00 74.82
Fractional positions:
Sm 0.162 0.838 0.750
Sm 0.838 0.162 0.250
Co 0.303 0.303 0.000
Co 0.303 0.303 0.500
Co 0.697 0.697 0.000
Co 0.697 0.697 0.500
Si 0.024 0.591 0.250
Si 0.409 0.976 0.250
Si 0.431 0.569 0.250
Si 0.569 0.431 0.750
Si 0.591 0.024 0.750
Si 0.976 0.409 0.750

Properties
For the total energy, the calculation gives -6.5452 eV per atom. The formation energy (no corrections) is -679 meV/atom. The space-group type is Cmcm. For the density of states at the Fermi level, the calculation gives 0.406 states/eV/atom.

=====

DFT (PBE-GGA) results for a geometry-optimized Sm3Co2Si2 structure.

abc: 5.628 7.769 12.702
angles: 90.00 90.00 90.00
Fractional positions:
Sm 0.136 0.243 0.250
Sm 0.136 0.257 0.750
Sm 0.362 0.610 0.601
Sm 0.362 0.610 0.899
Sm 0.362 0.890 0.101
Sm 0.362 0.890 0.399
Sm 0.638 0.110 0.601
Sm 0.638 0.110 0.899
Sm 0.638 0.390 0.101
Sm 0.638 0.390 0.399
Sm 0.864 0.743 0.250
Sm 0.864 0.757 0.750
Co 0.126 0.528 0.086
Co 0.126 0.528 0.414
Co 0.126 0.972 0.586
Co 0.126 0.972 0.914
Co 0.874 0.028 0.086
Co 0.874 0.028 0.414
Co 0.874 0.472 0.586
Co 0.874 0.472 0.914
Si 0.110 0.250 0.000
Si 0.110 0.250 0.500
Si 0.337 0.593 0.250
Si 0.337 0.907 0.750
Si 0.663 0.093 0.250
Si 0.663 0.407 0.750
Si 0.890 0.750 0.000
Si 0.890 0.750 0.500

Properties
For the total energy, the calculation gives -6.1681 eV per atom. The formation energy (no corrections) is -566 meV/atom. The space-group type is Pbcm. For the density of states at the Fermi level, the calculation gives 0.843 states/eV/atom.

=====

DFT (PBE-GGA) results for a geometry-optimized Sm2Co12Si7 structure.

abc: 9.168 9.168 3.676
angles: 90.00 90.00 120.00
Fractional positions:
Sm 0.000 0.000 0.000
Sm 0.333 0.667 0.500
Co 0.045 0.764 0.500
Co 0.104 0.390 0.000
Co 0.236 0.281 0.500
Co 0.286 0.896 0.000
Co 0.390 0.204 0.000
Co 0.550 0.113 0.500
Co 0.563 0.450 0.500
Co 0.610 0.714 0.000
Co 0.719 0.955 0.500
Co 0.796 0.186 0.000
Co 0.814 0.610 0.000
Co 0.887 0.437 0.500
Si 0.060 0.618 0.000
Si 0.270 0.040 0.500
Si 0.382 0.442 0.000
Si 0.558 0.940 0.000
Si 0.667 0.333 0.000
Si 0.769 0.730 0.500
Si 0.960 0.231 0.500

Properties
For the total energy, the calculation gives -6.8828 eV per atom. The formation energy (no corrections) is -565 meV/atom. The space-group type is P-6. For the density of states at the Fermi level, the calculation gives 0.734 states/eV/atom.

=====

DFT (PBE-GGA) results for a geometry-optimized Sm8Co2Si structure.

abc: 7.518 7.518 6.286
angles: 100.35 100.35 113.05
Fractional positions:
Sm 0.000 0.000 0.000
Sm 0.010 0.280 0.577
Sm 0.141 0.571 0.185
Sm 0.280 0.010 0.577
Sm 0.432 0.700 0.785
Sm 0.571 0.141 0.185
Sm 0.700 0.432 0.785
Sm 0.724 0.724 0.392
Co 0.044 0.666 0.694
Co 0.666 0.044 0.694
Si 0.359 0.359 0.384

Properties
For the total energy, the calculation gives -5.2979 eV per atom. The formation energy (no corrections) is -81 meV/atom. The space-group type is Cm. For the density of states at the Fermi level, the calculation gives 0.915 states/eV/atom.

=====

DFT (PBE-GGA) results for a geometry-optimized Sm4Co10Si structure.

abc: 10.802 10.802 10.802
angles: 92.85 92.85 154.24
Fractional positions:
Sm 0.019 0.123 0.604
Sm 0.019 0.415 0.896
Sm 0.123 0.019 0.104
Sm 0.415 0.019 0.396
Sm 0.585 0.981 0.604
Sm 0.877 0.981 0.896
Sm 0.981 0.585 0.104
Sm 0.981 0.877 0.396
Co 0.000 0.500 0.500
Co 0.110 0.254 0.343
Co 0.110 0.767 0.856
Co 0.233 0.589 0.343
Co 0.233 0.890 0.644
Co 0.254 0.110 0.843
Co 0.254 0.411 0.144
Co 0.411 0.254 0.644
Co 0.411 0.767 0.157
Co 0.500 0.000 0.000
Co 0.500 0.500 0.000
Co 0.500 0.500 0.500
Co 0.589 0.233 0.843
Co 0.589 0.746 0.356
Co 0.746 0.589 0.856
Co 0.746 0.890 0.157
Co 0.767 0.110 0.356
Co 0.767 0.411 0.657
Co 0.890 0.233 0.144
Co 0.890 0.746 0.657
Si 0.375 0.625 0.750
Si 0.625 0.375 0.250

Properties
For the total energy, the calculation gives -6.1727 eV per atom. The formation energy (no corrections) is 185 meV/atom. The space-group type is I4_1/amd. For the density of states at the Fermi level, the calculation gives 1.000 states/eV/atom.

=====

DFT (PBE-GGA) results for a geometry-optimized Sm3CoSi2 structure.

abc: 11.654 4.158 11.369
angles: 90.00 90.00 90.00
Fractional positions:
Sm 0.058 0.250 0.126
Sm 0.117 0.750 0.558
Sm 0.217 0.250 0.799
Sm 0.283 0.750 0.299
Sm 0.383 0.250 0.058
Sm 0.442 0.750 0.626
Sm 0.558 0.250 0.374
Sm 0.617 0.750 0.942
Sm 0.717 0.250 0.701
Sm 0.783 0.750 0.201
Sm 0.883 0.250 0.442
Sm 0.942 0.750 0.874
Co 0.131 0.250 0.364
Co 0.369 0.750 0.864
Co 0.631 0.250 0.136
Co 0.869 0.750 0.636
Si 0.029 0.750 0.317
Si 0.199 0.750 0.992
Si 0.301 0.250 0.492
Si 0.471 0.250 0.817
Si 0.529 0.750 0.183
Si 0.699 0.750 0.508
Si 0.801 0.250 0.008
Si 0.971 0.250 0.683

Properties
For the total energy, the calculation gives -5.9746 eV per atom. The formation energy (no corrections) is -623 meV/atom. The space-group type is Pnma. For the density of states at the Fermi level, the calculation gives 0.534 states/eV/atom.

=====

DFT (PBE-GGA) results for a geometry-optimized SmCoSi4 structure.

abc: 4.175 4.175 6.330
angles: 90.00 90.00 120.00
Fractional positions:
Sm 0.000 0.000 0.000
Co 0.000 0.000 0.500
Si 0.333 0.667 0.311
Si 0.333 0.667 0.689
Si 0.667 0.333 0.311
Si 0.667 0.333 0.689

Properties
For the total energy, the calculation gives -5.8515 eV per atom. The formation energy (no corrections) is -265 meV/atom. The space-group type is P6/mmm. For the density of states at the Fermi level, the calculation gives 0.523 states/eV/atom.

=====

DFT (PBE-GGA) results for a geometry-optimized SmCo4Si4 structure.

abc: 5.904 5.904 5.904
angles: 97.10 97.10 138.82
Fractional positions:
Sm 0.000 0.000 0.000
Co 0.117 0.609 0.726
Co 0.391 0.117 0.507
Co 0.609 0.883 0.493
Co 0.883 0.391 0.274
Si 0.212 0.340 0.552
Si 0.340 0.788 0.128
Si 0.660 0.212 0.872
Si 0.788 0.660 0.448

Properties
For the total energy, the calculation gives -6.6612 eV per atom. The formation energy (no corrections) is -568 meV/atom. The space-group type is I4/m. For the density of states at the Fermi level, the calculation gives 0.717 states/eV/atom.

=====

DFT (PBE-GGA) results for a geometry-optimized Sm8CoSi2 structure.

abc: 9.590 9.590 7.070
angles: 100.10 100.10 27.93
Fractional positions:
Sm 0.014 0.014 0.284
Sm 0.218 0.218 0.834
Sm 0.349 0.349 0.496
Sm 0.404 0.404 0.004
Sm 0.596 0.596 0.996
Sm 0.651 0.651 0.504
Sm 0.782 0.782 0.166
Sm 0.986 0.986 0.716
Co 0.500 0.500 0.500
Si 0.182 0.182 0.251
Si 0.818 0.818 0.749

Properties
For the total energy, the calculation gives -5.3162 eV per atom. The formation energy (no corrections) is -252 meV/atom. The space-group type is C2/m. For the density of states at the Fermi level, the calculation gives 1.052 states/eV/atom.

=====

DFT (PBE-GGA) results for a geometry-optimized Sm3Co2Si4 structure.

abc: 5.844 5.844 8.153
angles: 98.89 98.89 39.33
Fractional positions:
Sm 0.000 0.000 0.000
Sm 0.334 0.334 0.341
Sm 0.666 0.666 0.659
Co 0.393 0.393 0.724
Co 0.607 0.607 0.276
Si 0.056 0.056 0.380
Si 0.281 0.281 0.932
Si 0.719 0.719 0.068
Si 0.944 0.944 0.620

Properties
For the total energy, the calculation gives -6.2556 eV per atom. Its energy above the most stable polymorph in this dataset is 0.28 eV/f.u. The formation energy (no corrections) is -693 meV/atom. The space-group type is C2/m. For the density of states at the Fermi level, the calculation gives 0.902 states/eV/atom.

=====

DFT (PBE-GGA) results for a geometry-optimized SmCoSi3 structure.

abc: 8.180 3.906 10.170
angles: 90.00 90.00 90.00
Fractional positions:
Sm 0.193 0.250 0.038
Sm 0.307 0.750 0.538
Sm 0.693 0.250 0.462
Sm 0.807 0.750 0.962
Co 0.081 0.250 0.349
Co 0.419 0.750 0.849
Co 0.581 0.250 0.151
Co 0.919 0.750 0.651
Si 0.044 0.250 0.581
Si 0.122 0.750 0.816
Si 0.193 0.750 0.256
Si 0.307 0.250 0.756
Si 0.378 0.250 0.316
Si 0.456 0.750 0.081
Si 0.544 0.250 0.919
Si 0.622 0.750 0.684
Si 0.693 0.750 0.244
Si 0.807 0.250 0.744
Si 0.878 0.250 0.184
Si 0.956 0.750 0.419

Properties
For the total energy, the calculation gives -6.2347 eV per atom. The formation energy (no corrections) is -616 meV/atom. The space-group type is Pnma. For the density of states at the Fermi level, the calculation gives 0.301 states/eV/atom.